Record 1
First-principles (PBE) data for a relaxed structure of Ac4GaNiCl2, as listed in the Alexandria database.

a b c (Å): 7.805 4.321 7.996
angles (deg): 90.00 107.93 90.00
Atoms (fractional coordinates):
Ac  0.214  0.000  0.225
Ac  0.237  0.500  0.760
Ac  0.763  0.500  0.240
Ac  0.786  0.000  0.775
Ga  0.000  0.000  0.500
Ni  0.000  0.500  0.000
Cl  0.500  0.000  0.000
Cl  0.500  0.500  0.500

Values from the calculation:
Total magnetic moment   0.00 μB per formula unit
Raw formation energy   -0.9288 eV/atom
DOS at the Fermi energy   6.7 states/eV/cell
Symmetry   P2/m, No. 10

---

Record 2
First-principles (PBE) data for a relaxed structure of Ac6GaNi2Cl3, as listed in the Alexandria database.

a b c (Å): 10.195 10.195 9.326
angles (deg): 105.01 105.01 24.33
Atoms (fractional coordinates):
Ac  0.014  0.014  0.253
Ac  0.323  0.323  0.439
Ac  0.337  0.337  0.886
Ac  0.663  0.663  0.114
Ac  0.677  0.677  0.561
Ac  0.986  0.986  0.747
Ga  0.500  0.500  0.000
Ni  0.170  0.170  0.339
Ni  0.830  0.830  0.661
Cl  0.156  0.156  0.829
Cl  0.500  0.500  0.500
Cl  0.844  0.844  0.171

Values from the calculation:
Total magnetic moment   0.00 μB per formula unit
Raw formation energy   -0.9356 eV/atom
DOS at the Fermi energy   6.8 states/eV/cell
Symmetry   C2/m, No. 12

---

Record 3
First-principles (PBE) data for a relaxed structure of Ac4GaPtCl2, as listed in the Alexandria database.

a b c (Å): 7.723 4.429 8.084
angles (deg): 90.00 108.84 90.00
Atoms (fractional coordinates):
Ac  0.221  0.000  0.233
Ac  0.238  0.500  0.757
Ac  0.762  0.500  0.243
Ac  0.779  0.000  0.767
Ga  0.000  0.000  0.500
Pt  0.000  0.500  0.000
Cl  0.500  0.000  0.000
Cl  0.500  0.500  0.500

Values from the calculation:
Total magnetic moment   0.00 μB per formula unit
Raw formation energy   -1.1802 eV/atom
DOS at the Fermi energy   6.1 states/eV/cell
Symmetry   P2/m, No. 10

---

Record 4
First-principles (PBE) data for a relaxed structure of Ac4GaRhCl2, as listed in the Alexandria database.

a b c (Å): 7.981 4.360 8.038
angles (deg): 90.00 108.16 90.00
Atoms (fractional coordinates):
Ac  0.230  0.000  0.212
Ac  0.235  0.500  0.780
Ac  0.765  0.500  0.220
Ac  0.770  0.000  0.788
Ga  0.500  0.000  0.000
Rh  0.000  0.500  0.000
Cl  0.000  0.000  0.500
Cl  0.500  0.500  0.500

Values from the calculation:
Total magnetic moment   0.00 μB per formula unit
Raw formation energy   -1.0799 eV/atom
DOS at the Fermi energy   6.3 states/eV/cell
Symmetry   P2/m, No. 10

---

Record 5
First-principles (PBE) data for a relaxed structure of AcGaSbCl, as listed in the Alexandria database.

a b c (Å): 5.487 5.487 5.487
angles (deg): 60.00 60.00 60.00
Atoms (fractional coordinates):
Ac  0.000  0.000  0.000
Ga  0.500  0.500  0.500
Sb  0.750  0.750  0.750
Cl  0.250  0.250  0.250

Values from the calculation:
Total magnetic moment   0.00 μB per formula unit
Raw formation energy   -0.9229 eV/atom
DOS at the Fermi energy   0.2 states/eV/cell
Symmetry   F-43m, No. 216

---

Record 6
First-principles (PBE) data for a relaxed structure of Ac4GaSiCl2, as listed in the Alexandria database.

a b c (Å): 7.554 4.610 8.040
angles (deg): 90.00 110.84 90.00
Atoms (fractional coordinates):
Ac  0.234  0.000  0.243
Ac  0.236  0.500  0.748
Ac  0.764  0.500  0.252
Ac  0.766  0.000  0.757
Ga  0.000  0.000  0.500
Si  0.000  0.500  0.000
Cl  0.500  0.000  0.000
Cl  0.500  0.500  0.500

Values from the calculation:
Total magnetic moment   0.00 μB per formula unit
Raw formation energy   -1.0694 eV/atom
DOS at the Fermi energy   4.1 states/eV/cell
Symmetry   P2/m, No. 10

---

Record 7
First-principles (PBE) data for a relaxed structure of AcGdCl, as listed in the Alexandria database.

a b c (Å): 3.874 3.874 7.647
angles (deg): 90.00 90.00 120.00
Atoms (fractional coordinates):
Ac  0.000  0.000  0.000
Gd  0.667  0.333  0.388
Cl  0.333  0.667  0.650

Values from the calculation:
Total magnetic moment   7.65 μB per formula unit
Raw formation energy   -0.8883 eV/atom
DOS at the Fermi energy   4.3 states/eV/cell
Symmetry   P3m1, No. 156

---

Record 8
First-principles (PBE) data for a relaxed structure of Ac2GdCl, as listed in the Alexandria database.

a b c (Å): 11.172 11.172 11.172
angles (deg): 20.26 20.26 20.26
Atoms (fractional coordinates):
Ac  0.241  0.241  0.241
Ac  0.759  0.759  0.759
Gd  0.000  0.000  0.000
Cl  0.500  0.500  0.500

Values from the calculation:
Total magnetic moment   7.91 μB per formula unit
Raw formation energy   -0.6315 eV/atom
DOS at the Fermi energy   6.1 states/eV/cell
Symmetry   R-3m, No. 166

---

Record 9
First-principles (PBE) data for a relaxed structure of Ac5Gd3Cl12, as listed in the Alexandria database.

a b c (Å): 15.264 15.264 15.264
angles (deg): 109.47 109.47 109.47
Atoms (fractional coordinates):
Ac  0.000  0.000  0.000
Ac  0.000  0.000  0.500
Ac  0.000  0.500  0.000
Ac  0.000  0.500  0.500
Ac  0.125  0.750  0.875
Ac  0.125  0.875  0.250
Ac  0.250  0.125  0.875
Ac  0.250  0.625  0.375
Ac  0.375  0.250  0.625
Ac  0.375  0.625  0.750
Ac  0.500  0.000  0.000
Ac  0.500  0.000  0.500
Ac  0.500  0.500  0.000
Ac  0.500  0.500  0.500
Ac  0.625  0.375  0.250
Ac  0.625  0.750  0.375
Ac  0.750  0.375  0.625
Ac  0.750  0.875  0.125
Ac  0.875  0.125  0.750
Ac  0.875  0.250  0.125
Gd  0.125  0.250  0.375
Gd  0.125  0.375  0.750
Gd  0.250  0.375  0.125
Gd  0.250  0.875  0.625
Gd  0.375  0.125  0.250
Gd  0.375  0.750  0.125
Gd  0.625  0.250  0.875
Gd  0.625  0.875  0.750
Gd  0.750  0.125  0.375
Gd  0.750  0.625  0.875
Gd  0.875  0.625  0.250
Gd  0.875  0.750  0.625
Cl  0.047  0.716  0.654
Cl  0.047  0.830  0.393
Cl  0.062  0.216  0.170
Cl  0.062  0.346  0.893
Cl  0.107  0.670  0.453
Cl  0.107  0.938  0.654
Cl  0.154  0.216  0.547
Cl  0.154  0.438  0.607
Cl  0.170  0.062  0.216
Cl  0.170  0.607  0.953
Cl  0.216  0.170  0.062
Cl  0.216  0.547  0.154
Cl  0.284  0.346  0.953
Cl  0.284  0.438  0.330
Cl  0.330  0.284  0.438
Cl  0.330  0.547  0.893
Cl  0.346  0.893  0.062
Cl  0.346  0.953  0.284
Cl  0.393  0.047  0.830
Cl  0.393  0.846  0.562
Cl  0.438  0.330  0.284
Cl  0.438  0.607  0.154
Cl  0.453  0.107  0.670
Cl  0.453  0.846  0.784
Cl  0.547  0.154  0.216
Cl  0.547  0.893  0.330
Cl  0.562  0.393  0.846
Cl  0.562  0.670  0.716
Cl  0.607  0.154  0.438
Cl  0.607  0.953  0.170
Cl  0.654  0.047  0.716
Cl  0.654  0.107  0.938
Cl  0.670  0.453  0.107
Cl  0.670  0.716  0.562
Cl  0.716  0.562  0.670
Cl  0.716  0.654  0.047
Cl  0.784  0.453  0.846
Cl  0.784  0.830  0.938
Cl  0.830  0.393  0.047
Cl  0.830  0.938  0.784
Cl  0.846  0.562  0.393
Cl  0.846  0.784  0.453
Cl  0.893  0.062  0.346
Cl  0.893  0.330  0.547
Cl  0.938  0.654  0.107
Cl  0.938  0.784  0.830
Cl  0.953  0.170  0.607
Cl  0.953  0.284  0.346

Values from the calculation:
Total magnetic moment   23.59 μB per formula unit
Raw formation energy   -1.5040 eV/atom
DOS at the Fermi energy   123.9 states/eV/cell
Symmetry   Ia-3d, No. 230

---

Record 10
First-principles (PBE) data for a relaxed structure of AcGdGeCl, as listed in the Alexandria database.

a b c (Å): 5.292 5.292 5.292
angles (deg): 60.00 60.00 60.00
Atoms (fractional coordinates):
Ac  0.000  0.000  0.000
Gd  0.500  0.500  0.500
Ge  0.250  0.250  0.250
Cl  0.750  0.750  0.750

Values from the calculation:
Total magnetic moment   7.47 μB per formula unit
Raw formation energy   -1.0476 eV/atom
DOS at the Fermi energy   4.8 states/eV/cell
Symmetry   F-43m, No. 216

---

Record 11
First-principles (PBE) data for a relaxed structure of AcGdSbCl, as listed in the Alexandria database.

a b c (Å): 5.471 5.471 5.471
angles (deg): 60.00 60.00 60.00
Atoms (fractional coordinates):
Ac  0.000  0.000  0.000
Gd  0.500  0.500  0.500
Sb  0.250  0.250  0.250
Cl  0.750  0.750  0.750

Values from the calculation:
Total magnetic moment   8.34 μB per formula unit
Raw formation energy   -1.1841 eV/atom
DOS at the Fermi energy   6.2 states/eV/cell
Symmetry   F-43m, No. 216

---

Record 12
First-principles (PBE) data for a relaxed structure of AcGdSnCl, as listed in the Alexandria database.

a b c (Å): 5.498 5.498 5.498
angles (deg): 60.00 60.00 60.00
Atoms (fractional coordinates):
Ac  0.000  0.000  0.000
Gd  0.500  0.500  0.500
Sn  0.750  0.750  0.750
Cl  0.250  0.250  0.250

Values from the calculation:
Total magnetic moment   7.55 μB per formula unit
Raw formation energy   -1.0051 eV/atom
DOS at the Fermi energy   5.4 states/eV/cell
Symmetry   F-43m, No. 216

---

Record 13
First-principles (PBE) data for a relaxed structure of Ac2GeCl2, as listed in the Alexandria database.

a b c (Å): 4.674 4.674 8.610
angles (deg): 90.00 90.00 120.00
Atoms (fractional coordinates):
Ac  0.333  0.667  0.297
Ac  0.667  0.333  0.703
Ge  0.000  0.000  0.500
Cl  0.333  0.667  0.873
Cl  0.667  0.333  0.127

Values from the calculation:
Total magnetic moment   0.00 μB per formula unit
Raw formation energy   -1.6687 eV/atom
Energy above the most stable polymorph in this dataset   0.0 kJ/mol of formula units
Symmetry   P-3m1, No. 164

---

Record 14
First-principles (PBE) data for a relaxed structure of Ac3GeCl3, as listed in the Alexandria database.

a b c (Å): 10.851 10.851 10.851
angles (deg): 109.47 109.47 109.47
Atoms (fractional coordinates):
Ac  0.006  0.012  0.256
Ac  0.006  0.494  0.750
Ac  0.012  0.256  0.006
Ac  0.244  0.256  0.750
Ac  0.244  0.488  0.494
Ac  0.256  0.006  0.012
Ac  0.256  0.750  0.244
Ac  0.488  0.494  0.244
Ac  0.494  0.244  0.488
Ac  0.494  0.750  0.006
Ac  0.750  0.006  0.494
Ac  0.750  0.244  0.256
Ge  0.000  0.250  0.500
Ge  0.250  0.250  0.250
Ge  0.250  0.500  0.000
Ge  0.500  0.000  0.250
Cl  0.002  0.004  0.752
Cl  0.002  0.498  0.250
Cl  0.004  0.752  0.002
Cl  0.250  0.002  0.498
Cl  0.250  0.748  0.752
Cl  0.496  0.498  0.748
Cl  0.498  0.250  0.002
Cl  0.498  0.748  0.496
Cl  0.748  0.496  0.498
Cl  0.748  0.752  0.250
Cl  0.752  0.002  0.004
Cl  0.752  0.250  0.748

Values from the calculation:
Total magnetic moment   0.00 μB per formula unit
Raw formation energy   -1.6324 eV/atom
Energy above the most stable polymorph in this dataset   0.0 kJ/mol of formula units
DOS at the Fermi energy   10.3 states/eV/cell
Symmetry   I4_132, No. 214

---

Record 15
First-principles (PBE) data for a relaxed structure of Ac5Ge4Cl, as listed in the Alexandria database.

a b c (Å): 7.910 7.910 7.910
angles (deg): 99.50 99.50 132.06
Atoms (fractional coordinates):
Ac  0.000  0.000  0.000
Ac  0.195  0.598  0.793
Ac  0.402  0.195  0.596
Ac  0.598  0.805  0.404
Ac  0.805  0.402  0.207
Ge  0.104  0.293  0.397
Ge  0.293  0.896  0.190
Ge  0.707  0.104  0.810
Ge  0.896  0.707  0.603
Cl  0.500  0.500  0.000

Values from the calculation:
Total magnetic moment   0.00 μB per formula unit
Raw formation energy   -0.8915 eV/atom
Energy above the most stable polymorph in this dataset   0.0 kJ/mol of formula units
DOS at the Fermi energy   8.8 states/eV/cell
Symmetry   I4/m, No. 87

---

Record 16
First-principles (PBE) data for a relaxed structure of AcGeCl, as listed in the Alexandria database.

a b c (Å): 4.482 4.482 11.053
angles (deg): 92.23 92.23 60.50
Atoms (fractional coordinates):
Ac  0.011  0.011  0.193
Ac  0.989  0.989  0.807
Ge  0.334  0.334  0.013
Ge  0.666  0.666  0.987
Cl  0.314  0.314  0.656
Cl  0.686  0.686  0.344

Values from the calculation:
Total magnetic moment   0.00 μB per formula unit
Raw formation energy   -1.4151 eV/atom
DOS at the Fermi energy   2.1 states/eV/cell
Symmetry   C2/m, No. 12

---

Record 17
First-principles (PBE) data for a relaxed structure of Ac4GeCl4, as listed in the Alexandria database.

a b c (Å): 8.101 8.101 8.101
angles (deg): 125.58 125.58 80.57
Atoms (fractional coordinates):
Ac  0.066  0.639  0.000
Ac  0.361  0.361  0.427
Ac  0.639  0.066  0.000
Ac  0.934  0.934  0.573
Ge  0.000  0.000  0.000
Cl  0.000  0.500  0.500
Cl  0.332  0.332  0.000
Cl  0.500  0.000  0.500
Cl  0.668  0.668  0.000

Values from the calculation:
Total magnetic moment   0.00 μB per formula unit
Raw formation energy   -1.2306 eV/atom
DOS at the Fermi energy   4.7 states/eV/cell
Symmetry   I-42m, No. 121

---

Record 18
First-principles (PBE) data for a relaxed structure of Ac2GeCl2, as listed in the Alexandria database.

a b c (Å): 7.957 7.957 6.651
angles (deg): 109.95 109.95 101.82
Atoms (fractional coordinates):
Ac  0.121  0.879  0.750
Ac  0.368  0.632  0.250
Ac  0.632  0.368  0.750
Ac  0.879  0.121  0.250
Ge  0.129  0.871  0.250
Ge  0.871  0.129  0.750
Cl  0.235  0.453  0.511
Cl  0.453  0.235  0.011
Cl  0.547  0.765  0.989
Cl  0.765  0.547  0.489

Values from the calculation:
Total magnetic moment   0.00 μB per formula unit
Raw formation energy   -1.3472 eV/atom
Energy above the most stable polymorph in this dataset   155.1 kJ/mol of formula units
DOS at the Fermi energy   0.2 states/eV/cell
Symmetry   C2/c, No. 15

---

Record 19
First-principles (PBE) data for a relaxed structure of Ac6Ge3Cl, as listed in the Alexandria database.

a b c (Å): 9.937 9.937 7.552
angles (deg): 90.00 90.00 101.34
Atoms (fractional coordinates):
Ac  0.007  0.993  0.500
Ac  0.099  0.567  0.422
Ac  0.244  0.756  0.867
Ac  0.295  0.371  0.910
Ac  0.371  0.295  0.410
Ac  0.433  0.901  0.422
Ac  0.567  0.099  0.922
Ac  0.629  0.705  0.910
Ac  0.705  0.629  0.410
Ac  0.756  0.244  0.367
Ac  0.901  0.433  0.922
Ac  0.993  0.007  0.000
Ge  0.071  0.278  0.227
Ge  0.278  0.071  0.727
Ge  0.402  0.598  0.594
Ge  0.598  0.402  0.094
Ge  0.722  0.929  0.227
Ge  0.929  0.722  0.727
Cl  0.154  0.846  0.237
Cl  0.846  0.154  0.737

Values from the calculation:
Total magnetic moment   0.00 μB per formula unit
Raw formation energy   -0.6860 eV/atom
DOS at the Fermi energy   22.1 states/eV/cell
Symmetry   Cmc2_1, No. 36

---

Record 20
First-principles (PBE) data for a relaxed structure of Ac3GeCl3, as listed in the Alexandria database.

a b c (Å): 6.210 6.210 6.210
angles (deg): 90.00 90.00 90.00
Atoms (fractional coordinates):
Ac  0.000  0.000  0.500
Ac  0.000  0.500  0.000
Ac  0.500  0.000  0.000
Ge  0.000  0.000  0.000
Cl  0.000  0.500  0.500
Cl  0.500  0.000  0.500
Cl  0.500  0.500  0.000

Values from the calculation:
Total magnetic moment   0.00 μB per formula unit
Raw formation energy   -1.5917 eV/atom
Energy above the most stable polymorph in this dataset   27.5 kJ/mol of formula units
DOS at the Fermi energy   3.1 states/eV/cell
Symmetry   Pm-3m, No. 221